## SiPtCl4 (PBE)

Data for crystalline SiPtCl4 at its relaxed geometry.

Cell lengths 5.654, 5.654, 5.654 Å; angles 60.00, 60.00, 60.00 degrees
Sites, in units of the cell vectors:
Si1 0.000 0.000 0.000
Pt1 0.250 0.250 0.250
Cl1 0.128 0.624 0.624
Cl2 0.624 0.128 0.624
Cl3 0.624 0.624 0.128
Cl4 0.624 0.624 0.624

Calculated values
The electronic total energy comes out at -1.9744 eV/atom. The mass density is 4.7 Mg/m³. The value obtained for the uncorrected formation energy is 7.0 eV per formula unit.


## Th2Be16Ru (PBE)

Data for crystalline Th2Be16Ru at its relaxed geometry.

Cell lengths 6.041, 6.041, 6.041 Å; angles 83.51, 83.51, 83.51 degrees
Sites, in units of the cell vectors:
Th1 0.000 0.000 0.000
Th2 0.313 0.313 0.313
Be1 0.153 0.654 0.654
Be2 0.322 0.322 0.811
Be3 0.322 0.811 0.322
Be4 0.384 0.652 0.918
Be5 0.384 0.918 0.652
Be6 0.501 0.985 0.985
Be7 0.652 0.384 0.918
Be8 0.652 0.918 0.384
Be9 0.654 0.153 0.654
Be10 0.654 0.654 0.153
Be11 0.750 0.750 0.750
Be12 0.811 0.322 0.322
Be13 0.918 0.384 0.652
Be14 0.918 0.652 0.384
Be15 0.985 0.501 0.985
Be16 0.985 0.985 0.501
Ru1 0.551 0.551 0.551

Calculated values
The formation energy from the elements comes out at -125 meV/atom. The electronic total energy comes out at -4.5318 eV/atom. The mass density is 5.4 Mg/m³.


- What is the electronic total energy in the second record?
  -4.5318 eV/atom